1.
Crystalline Li2AlZnH at its relaxed geometry. Source: the Alexandria database, functional PBE.

Lattice parameters (Å, degrees): 3.9353 3.9353 4.0844 90.00 90.00 90.00
Closest atoms and distances in Å follow each position.
Space group P4/mmm (No. 123)
One atom of each set of equivalent atoms:
Li  0.0000  0.5000  0.0000  2 H 1.97
Al  0.0000  0.0000  0.5000  4 Zn 2.78, 8 Li 2.84
Zn  0.5000  0.5000  0.5000  2 H 2.04
H  0.5000  0.5000  0.0000  4 Li 1.97, 2 Zn 2.04

Calculated values
The total magnetic moment comes out at 0.00 μB/f.u. The energy above the lowest structure with this stoichiometry is 13 kJ/mol of formula units. The value obtained for the electronic total energy is -2.518 eV/atom.

2.
Crystalline LiZr2AlH at its relaxed geometry. Source: the Alexandria database, functional PBE.

Lattice parameters (Å, degrees): 4.3913 4.3913 4.0257 90.00 90.00 90.00
Closest atoms and distances in Å follow each position.
Space group P4/mmm (No. 123)
One atom of each set of equivalent atoms:
Li  0.0000  0.0000  0.0000  2 H 2.01
Zr  0.0000  0.5000  0.5000  2 H 2.20
Al  0.5000  0.5000  0.0000  8 Zr 2.98, 4 Li 3.11
H  0.0000  0.0000  0.5000  2 Li 2.01, 4 Zr 2.20

Calculated values
The total magnetic moment comes out at 0.00 μB/f.u. The value obtained for the electronic total energy is -5.529 eV/atom.

3.
Crystalline LuAl2H6 at its relaxed geometry. Source: the Alexandria database, functional PBE.

Lattice parameters (Å, degrees): 7.0608 7.0608 7.0608 90.00 90.00 90.00
Closest atoms and distances in Å follow each position.
Space group Fm-3m (No. 225)
One atom of each set of equivalent atoms:
Lu  0.0000  0.0000  0.0000  6 H 1.99
Al  0.2500  0.2500  0.2500  12 H 2.51
H  0.0000  0.0000  0.2823  1 Lu 1.99, 4 H 2.17

Calculated values
The total magnetic moment comes out at 0.00 μB/f.u. The value obtained for the electronic total energy is -3.167 eV/atom.

4.
Crystalline Lu2AlH at its relaxed geometry. Source: the Alexandria database, functional PBE.

Lattice parameters (Å, degrees): 4.6281 4.6281 19.4870 90.00 90.00 120.00
Closest atoms and distances in Å follow each position.
Space group R-3m (No. 166, hexagonal axes)
One atom of each set of equivalent atoms:
Lu  0.0000  0.0000  0.1042  1 H 2.03
Al  0.0000  0.0000  0.5000  6 Lu 2.94
H  0.0000  0.0000  0.0000  2 Lu 2.03

Calculated values
The total magnetic moment comes out at 0.00 μB/f.u. The value obtained for the electronic total energy is -3.917 eV/atom.

5.
Crystalline Lu3AlH at its relaxed geometry. Source: the Alexandria database, functional PBE.

Lattice parameters (Å, degrees): 4.6567 4.6567 4.6567 90.00 90.00 90.00
Closest atoms and distances in Å follow each position.
Space group Pm-3m (No. 221)
One atom of each set of equivalent atoms:
Lu  0.0000  0.0000  0.5000  2 H 2.33
Al  0.5000  0.5000  0.5000  12 Lu 3.29
H  0.0000  0.0000  0.0000  6 Lu 2.33

Calculated values
The total magnetic moment comes out at 0.42 μB/f.u. The value obtained for the electronic total energy is -4.400 eV/atom.

6.
Crystalline Lu4Al2H at its relaxed geometry. Source: the Alexandria database, functional PBE.

Lattice parameters (Å, degrees): 4.4256 4.4256 15.9637 90.00 90.00 90.00
Closest atoms and distances in Å follow each position.
Space group I4/mmm (No. 139)
One atom of each set of equivalent atoms:
Lu  0.0000  0.0000  0.1767  1 H 2.82, 1 Al 3.04
Lu  0.0000  0.5000  0.0000  2 H 2.21
Al  0.0000  0.0000  0.3671  9 Lu 3.04-3.21
H  0.0000  0.0000  0.0000  4 Lu 2.21

Calculated values
The total magnetic moment comes out at 0.00 μB/f.u. The value obtained for the electronic total energy is -4.388 eV/atom.